The following is a PBE calculation of crystalline TePt2C at its relaxed geometry, from Alexandria via LeMat-Bulk.

Cell lengths 4.9763, 4.9763, 12.0712 Å; angles 90.00, 90.00, 90.00 degrees
Closest atoms and distances in Å follow each position.
Space group I-42d (No. 122)
Unique sites:
Te (0.0000, 0.0000, 0.0000)  4 Pt 2.68
Pt (0.1329, 0.2500, 0.6250)  2 C 2.06
C (0.0000, 0.0000, 0.5000)  4 Pt 2.06

Calculated values
**Relative energy among the computed polymorphs**: 0 meV/atom

---

The following is a PBE calculation of crystalline TePt3C at its relaxed geometry, from Alexandria via LeMat-Bulk.

Cell lengths 4.3132, 4.3132, 4.3132 Å; angles 90.00, 90.00, 90.00 degrees
Closest atoms and distances in Å follow each position.
Space group Pm-3m (No. 221)
Unique sites:
Te (0.0000, 0.0000, 0.0000)  12 Pt 3.05
Pt (0.0000, 0.5000, 0.5000)  2 C 2.16
C (0.5000, 0.5000, 0.5000)  6 Pt 2.16

Calculated values
**Relative energy among the computed polymorphs**: 0 meV/atom

---

The following is a PBE calculation of crystalline Te2PtC at its relaxed geometry, from Alexandria via LeMat-Bulk.

Cell lengths 4.2758, 4.2758, 19.6311 Å; angles 90.00, 90.00, 120.00 degrees
Closest atoms and distances in Å follow each position.
Space group R-3m (No. 166, hexagonal axes)
Unique sites:
Te (0.0000, 0.0000, 0.0995)  1 C 1.95
Pt (0.0000, 0.0000, 0.5000)  6 Te 2.80
C (0.0000, 0.0000, 0.0000)  2 Te 1.95

---

The following is a PBE calculation of crystalline TePt3C at its relaxed geometry, from Alexandria via LeMat-Bulk.

Cell lengths 4.9644, 4.9644, 4.9644 Å; angles 90.00, 90.00, 90.00 degrees
Closest atoms and distances in Å follow each position.
Space group Pm-3m (No. 221)
Unique sites:
Te (0.0000, 0.0000, 0.0000)  6 Pt 2.48
Pt (0.0000, 0.0000, 0.5000)  2 Te 2.48
C (0.5000, 0.5000, 0.5000)  12 Pt 3.51

Calculated values
**Relative energy among the computed polymorphs**: 1686 meV/atom

---

E_tot, respectively: -5.732, -5.587, -4.528, -3.901 eV per atom.